Record 1
VASP calculation (PBE) on crystalline Ge3Ir12Ru5 at its relaxed geometry.

**Volume**: 18.40 A^3/atom
**Formation enthalpy at 0 K**: 1518 kJ/mol of formula units
**Electronic total energy**: -0.277 hartree per atom

a = 14.332 Å, b = 14.332 Å, c = 14.332 Å
α = 90.00°, β = 90.00°, γ = 90.00°
Space group Ia-3d (No. 230)
Unique sites:
Ge 0.000 0.250 0.125 [24 per cell]
Ir 0.021 0.084 0.648 [96 per cell]
Ru 0.000 0.000 0.000 [16 per cell]
Ru 0.000 0.250 0.375 [24 per cell]

=====

Record 2
VASP calculation (PBE) on crystalline Ge4IrRu at its relaxed geometry.

**Volume**: 20.12 A^3/atom
**Formation enthalpy at 0 K**: -71 kJ/mol of formula units
**Electronic total energy**: -0.229 hartree per atom

a = 6.640 Å, b = 6.025 Å, c = 6.887 Å
α = 90.00°, β = 118.77°, γ = 90.00°
Space group P2_1/c (No. 14)
Unique sites:
Ge 0.139 0.216 0.286 [4 per cell]
Ge 0.353 0.710 0.215 [4 per cell]
Ir 0.500 0.000 0.500 [2 per cell]
Ru 0.000 0.000 0.500 [2 per cell]

=====

Record 3
VASP calculation (PBE) on crystalline GeIrRu2 at its relaxed geometry.

**Volume**: 15.66 A^3/atom
**Formation enthalpy at 0 K**: 61 kJ/mol of formula units
**Electronic total energy**: -0.288 hartree per atom

a = 4.1175 Å, b = 4.1175 Å, c = 12.8020 Å
α = 90.00°, β = 90.00°, γ = 120.00°
Space group R3m (No. 160, hexagonal axes)
Unique sites:
Ge 0.0000 0.0000 0.0000 [3 per cell]
Ir 0.0000 0.0000 0.8066 [3 per cell]
Ru 0.0000 0.0000 0.3851 [3 per cell]
Ru 0.0000 0.0000 0.5874 [3 per cell]

=====

Record 4
VASP calculation (PBE) on crystalline Ge2IrRu at its relaxed geometry.

**Volume**: 22.09 A^3/atom
**Formation enthalpy at 0 K**: 140 kJ/mol of formula units
**Electronic total energy**: -0.238 hartree per atom

a = 5.638 Å, b = 5.638 Å, c = 11.119 Å
α = 90.00°, β = 90.00°, γ = 90.00°
Space group I-42d (No. 122)
Unique sites:
Ge 0.249 0.250 0.125 [8 per cell]
Ir 0.000 0.000 0.000 [4 per cell]
Ru 0.000 0.000 0.500 [4 per cell]

=====

- Which formula does entry 3 have?
  GeIrRu2